Entry 1:
DFT (GGA-PBE) results for a relaxed Ca2SeBr crystal. Values from VASP.

Calculated values
Its total energy is -3.856 eV/atom. Its space group is Cm, No. 8. As for the energy above the most stable polymorph in this dataset: 81.9 meV per atom.

Structure (Quantum ESPRESSO input):
```
&SYSTEM
  ibrav = 0, nat = 4, ntyp = 3
/
ATOMIC_SPECIES
Ca 40.08 Ca.upf
Se 78.96 Se.upf
Br 79.90 Br.upf
CELL_PARAMETERS angstrom
7.4079 -2.0170 0.0000
7.4079 2.0170 0.0000
-0.0024 0.0000 4.0405
ATOMIC_POSITIONS angstrom
Ca 0.0000 0.0000 0.0000
Ca 2.9706 0.0000 2.0229
Se 9.6756 0.0000 0.0020
Br 5.9674 0.0000 2.0266
```


Entry 2:
DFT (GGA-PBE) results for a relaxed Pt3IF crystal. Values from VASP.

Calculated values
Its total energy is -3.184 eV/atom. Its space group is Pm-3m, No. 221. As for the energy above the most stable polymorph in this dataset: 201.6 meV per atom.

Structure (Quantum ESPRESSO input):
```
&SYSTEM
  ibrav = 0, nat = 5, ntyp = 3
/
ATOMIC_SPECIES
Pt 195.08 Pt.upf
I 126.90 I.upf
F 19.00 F.upf
CELL_PARAMETERS angstrom
4.9970 0.0000 0.0000
0.0000 4.9970 0.0000
0.0000 0.0000 4.9970
ATOMIC_POSITIONS angstrom
Pt 0.0000 0.0000 2.4985
Pt 0.0000 2.4985 0.0000
Pt 2.4985 0.0000 0.0000
I 0.0000 0.0000 0.0000
F 2.4985 2.4985 2.4985
```


Entry 3:
DFT (GGA-PBE) results for a relaxed Mg2BiN crystal. Values from VASP.

Calculated values
Its total energy is -4.116 eV/atom. Its space group is I-42d, No. 122. As for the energy above the most stable polymorph in this dataset: 252.7 meV per atom.

Structure (Quantum ESPRESSO input):
```
&SYSTEM
  ibrav = 0, nat = 8, ntyp = 3
/
ATOMIC_SPECIES
Mg 24.30 Mg.upf
Bi 208.98 Bi.upf
N 14.01 N.upf
CELL_PARAMETERS angstrom
-3.1219 3.1219 4.4840
3.1219 -3.1219 4.4840
3.1219 3.1219 -4.4840
ATOMIC_POSITIONS angstrom
Mg -0.4924 1.5609 1.1210
Mg 1.5609 2.6295 3.3630
Mg 0.4924 4.6828 1.1210
Mg -1.5609 3.6143 3.3630
Bi 3.1219 0.0000 2.2420
Bi 0.0000 0.0000 4.4840
N 0.0000 0.0000 0.0000
N 0.0000 3.1219 2.2420
```


Entry 4:
DFT (GGA-PBE) results for a relaxed ErSiRh2 crystal. Values from VASP.

Calculated values
Its total energy is -6.980 eV/atom. Its space group is Fmmm, No. 69.

Structure (Quantum ESPRESSO input):
```
&SYSTEM
  ibrav = 0, nat = 8, ntyp = 3
/
ATOMIC_SPECIES
Er 167.26 Er.upf
Si 28.09 Si.upf
Rh 102.91 Rh.upf
CELL_PARAMETERS angstrom
0.0000 4.1693 4.3353
3.6083 0.0000 4.3353
3.6083 4.1693 0.0000
ATOMIC_POSITIONS angstrom
Er 3.6083 1.8315 4.3353
Er 3.6083 6.5071 4.3353
Si 3.6083 4.1693 2.3683
Si 3.6083 4.1693 6.3024
Rh 1.8042 2.0846 2.1677
Rh 5.1357 4.1693 4.3353
Rh 2.0810 4.1693 4.3353
Rh 5.4125 6.2539 6.5030
```


Entry 5:
DFT (GGA-PBE) results for a relaxed Rb3SrGe2Br9 crystal. Values from VASP.

Calculated values
Its total energy is -3.262 eV/atom. Its space group is P-3m1, No. 164.

Structure (Quantum ESPRESSO input):
```
&SYSTEM
  ibrav = 0, nat = 15, ntyp = 4
/
ATOMIC_SPECIES
Rb 85.47 Rb.upf
Sr 87.62 Sr.upf
Ge 72.64 Ge.upf
Br 79.90 Br.upf
CELL_PARAMETERS angstrom
8.0324 0.0000 0.0000
-4.0162 6.9562 0.0000
0.0000 0.0000 10.1186
ATOMIC_POSITIONS angstrom
Rb 0.0000 0.0000 0.0000
Rb 0.0000 4.6375 7.2187
Rb 4.0162 2.3187 2.8999
Sr 0.0000 0.0000 5.0593
Ge 0.0000 4.6375 1.6290
Ge 4.0162 2.3187 8.4896
Br -2.0081 3.4781 0.0000
Br 0.0000 2.3755 3.2168
Br -1.9590 5.7685 3.2168
Br 2.0572 1.1877 6.9018
Br 4.0162 0.0000 0.0000
Br 2.0081 3.4781 0.0000
Br 1.9590 5.7685 3.2168
Br 5.9751 1.1877 6.9018
Br 4.0162 4.5808 6.9018
```


Entry 6:
DFT (GGA-PBE) results for a relaxed DyErFe10 crystal. Values from VASP.

Calculated values
Its total energy is -7.872 eV/atom. The value obtained for the formation energy is -56 meV per atom. Its space group is Pmmm, No. 47.

Structure (Quantum ESPRESSO input):
```
&SYSTEM
  ibrav = 0, nat = 12, ntyp = 3
/
ATOMIC_SPECIES
Dy 162.50 Dy.upf
Er 167.26 Er.upf
Fe 55.84 Fe.upf
CELL_PARAMETERS angstrom
3.9446 0.0000 0.0000
0.0000 4.9832 0.0000
0.0000 0.0000 8.5964
ATOMIC_POSITIONS angstrom
Dy 0.0000 0.0000 0.0000
Er 0.0000 2.4916 4.2982
Fe 0.0000 0.0000 2.8761
Fe 0.0000 0.0000 5.7204
Fe 0.0000 2.4916 1.4375
Fe 0.0000 2.4916 7.1590
Fe 1.9723 0.0000 4.2982
Fe 1.9723 1.2486 2.1579
Fe 1.9723 1.2486 6.4386
Fe 1.9723 2.4916 0.0000
Fe 1.9723 3.7347 2.1579
Fe 1.9723 3.7347 6.4386
```